The following is a GGA-PBE calculation of a relaxed CaEuGaGe crystal, from Alexandria via LeMat-Bulk.

Unit cell a=7.3925 b=7.3925 c=7.3925 alpha=90.00 beta=90.00 gamma=90.00
With the nearest neighbours (Å) after each atom.
Space group F-43m (No. 216)
Asymmetric unit:
Ca (0.0000, 0.0000, 0.0000) (multiplicity 4)  4 Ge 3.20, 4 Ga 3.20
Eu (0.0000, 0.0000, 0.5000) (multiplicity 4)  4 Ga 3.20, 4 Ge 3.20
Ga (0.2500, 0.2500, 0.7500) (multiplicity 4)  4 Ca 3.20, 4 Eu 3.20
Ge (0.2500, 0.2500, 0.2500) (multiplicity 4)  4 Eu 3.20, 4 Ca 3.20

Density of states at the Fermi level, states/eV per atom: 0.81
E, eV per atom: -5.476

=====

The following is a GGA-PBE calculation of a relaxed TcSbW crystal, from Alexandria via LeMat-Bulk.

Unit cell a=3.1126 b=3.1126 c=10.5169 alpha=90.00 beta=90.00 gamma=90.00
With the nearest neighbours (Å) after each atom.
Space group I4mm (No. 107)
Asymmetric unit:
Tc (0.0000, 0.0000, 0.0000) (multiplicity 2)  4 W 2.76, 4 Sb 2.79
Sb (0.0000, 0.0000, 0.6629) (multiplicity 2)  4 Tc 2.79, 4 W 2.90, 4 Sb 3.11
W (0.0000, 0.0000, 0.3421) (multiplicity 2)  4 Tc 2.76, 4 Sb 2.90

Formation energy (no corrections), eV per atom: 0.36
Density of states at the Fermi level, states/eV per atom: 0.79
Energy above the most stable polymorph in this dataset, kJ/mol of atoms: 16.1

=====

The following is a GGA-PBE calculation of a relaxed ScTa2W crystal, from Alexandria via LeMat-Bulk.

Unit cell a=3.2847 b=3.2847 c=7.0121 alpha=90.00 beta=90.00 gamma=90.00
With the nearest neighbours (Å) after each atom.
Space group P4/mmm (No. 123)
Asymmetric unit:
Sc (0.0000, 0.0000, 0.0000) (multiplicity 1)  8 Ta 3.06, 4 Sc 3.28
Ta (0.5000, 0.5000, 0.2838) (multiplicity 2)  4 W 2.77, 1 Ta 3.03, 4 Sc 3.06
W (0.0000, 0.0000, 0.5000) (multiplicity 1)  8 Ta 2.77

Density of states at the Fermi level, states/eV per atom: 1.45
E, eV per atom: -10.605

=====

The following is a GGA-PBE calculation of a relaxed Zn2CuSb crystal, from Alexandria via LeMat-Bulk.

Unit cell a=4.0436 b=4.0436 c=8.5336 alpha=90.00 beta=90.00 gamma=90.00
With the nearest neighbours (Å) after each atom.
Space group I4/mmm (No. 139)
Asymmetric unit:
Zn (0.0000, 0.5000, 0.2500) (multiplicity 4)  4 Zn 2.86, 4 Sb 2.94, 4 Cu 2.94
Cu (0.0000, 0.0000, 0.0000) (multiplicity 2)  4 Sb 2.86, 8 Zn 2.94
Sb (0.0000, 0.0000, 0.5000) (multiplicity 2)  4 Cu 2.86, 8 Zn 2.94

Formation energy (no corrections), eV per atom: 0.17
Density of states at the Fermi level, states/eV per atom: 0.37

=====

Looking at magnetic moment for the records above, in order, we have 6.96, 0.00, 0.00, 0.00 μB per formula unit.